1.
Density functional theory data (PBE) for a relaxed Sm3Dy7Tm2 crystal.

Energy, eV per atom: -4.31
Formation enthalpy at 0 K, meV/atom: 295
SG: R-3m
Energy relative to the lowest polymorph listed for this composition, eV/atom: 0.206
Density, g/cm3: 7.8

```
12
Lattice="-5.439 -1.528 -3.170 -2.599 -5.895 0.682 -8.773 1.216 7.849" Properties=species:S:1:pos:R:3 pbc="T T T"
Sm 0.000 0.000 0.000
Sm -5.939 -0.501 3.812
Sm -10.873 -5.707 1.548
Dy -8.406 -3.104 2.680
Dy -8.535 -2.661 6.014
Dy -11.267 -3.429 4.422
Dy -9.962 -0.468 4.080
Dy -8.276 -3.546 -0.654
Dy -6.850 -5.740 1.281
Dy -5.544 -2.779 0.938
Tm -2.680 -2.474 -0.828
Tm -14.131 -3.733 6.189
```

***

2.
Density functional theory data (PBE) for a relaxed CaIn2Pt2 crystal.

Energy, eV per atom: -4.46
Formation enthalpy at 0 K, meV/atom: -551
SG: P4/mbm
Energy relative to the lowest polymorph listed for this composition, eV/atom: 0.124
Density, g/cm3: 10.8

```
10
Lattice="-2.244 -2.518 7.384 -5.973 -4.387 -3.311 1.912 -2.419 -0.244" Properties=species:S:1:pos:R:3 pbc="T T T"
Ca 0.000 0.000 0.000
Ca -4.109 -3.453 2.036
Pt -3.438 -4.586 -1.080
Pt -5.501 -6.536 2.090
Pt -2.867 -4.738 4.909
Pt -0.805 -2.789 1.738
In -6.040 -4.760 -0.143
In -5.710 -4.952 4.355
In -2.177 -2.146 4.215
In -2.508 -1.954 -0.282
```

***

3.
Density functional theory data (PBE) for a relaxed Na2PmHfSe4 crystal.

Energy, eV per atom: -5.35
Formation energy (no corrections), meV per atom: -1437
SG: P2/m
Density, g/cm3: 5.7

```
8
Lattice="-0.252 3.796 -1.266 -5.090 -1.827 -4.470 -3.190 1.940 6.453" Properties=species:S:1:pos:R:3 pbc="T T T"
Na -1.721 2.868 2.594
Na -4.140 0.056 0.992
Pm 0.000 0.000 0.000
Hf -2.671 0.984 -2.868
Se -2.224 1.866 -0.311
Se -6.307 2.042 1.028
Se -3.887 0.999 3.769
Se -4.393 -0.886 -1.786
```

***

4.
Density functional theory data (PBE) for a relaxed NaPmCd2Cl8 crystal.

Energy, eV per atom: -3.46
Formation energy (no corrections), meV per atom: -1574
SG: P2/m
Density, g/cm3: 3.4

```
12
Lattice="-1.284 6.353 0.631 -6.086 -1.273 0.669 1.011 -0.596 8.064" Properties=species:S:1:pos:R:3 pbc="T T T"
Na 0.505 -0.298 4.032
Pm 0.000 0.000 0.000
Cd -2.939 2.099 6.606
Cd -3.421 2.384 2.758
Cl -4.652 0.003 2.580
Cl -5.238 3.323 0.903
Cl -2.229 4.787 2.630
Cl -1.708 4.480 6.784
Cl -1.122 1.160 8.461
Cl -4.131 -0.304 6.734
Cl -4.739 2.988 4.933
Cl -1.620 1.495 4.431
```

***

5.
Density functional theory data (PBE) for a relaxed DyCdS crystal.

Energy, eV per atom: -4.32
Formation energy (no corrections), meV per atom: -1102
SG: R-3m
Density, g/cm3: 6.9

```
6
Lattice="4.724 0.000 0.000 2.362 4.091 0.000 2.362 1.364 7.599" Properties=species:S:1:pos:R:3 pbc="T T T"
Dy 4.724 2.727 1.708
Dy 4.724 2.727 5.891
S 2.362 1.364 1.068
S 7.086 4.091 6.531
Cd 7.086 4.091 3.715
Cd 2.362 1.364 3.884
```

***

6.
Density functional theory data (PBE) for a relaxed NdHo2Sc crystal.

Energy, eV per atom: -5.03
Formation enthalpy at 0 K, meV/atom: 32
SG: Cm
Energy relative to the lowest polymorph listed for this composition, eV/atom: 0.003
Density, g/cm3: 7.1

```
8
Lattice="3.531 -0.004 0.000 0.009 6.062 -0.759 -1.768 -3.652 11.819" Properties=species:S:1:pos:R:3 pbc="T T T"
Nd 0.911 3.358 6.045
Nd -0.858 0.329 6.425
Ho -0.851 2.712 9.141
Ho 2.679 3.998 2.992
Ho 0.909 0.969 3.371
Ho 0.910 -0.321 9.521
Sc 2.683 5.688 0.109
Sc 0.913 2.659 0.489
```

***

7.
Density functional theory data (PBE) for a relaxed Y3Sb2N crystal.

Energy, eV per atom: -7.11
Formation energy (no corrections), meV per atom: -1121
SG: Cmcm
Density, g/cm3: 5.8

```
12
Lattice="-2.144 2.632 -5.498 5.488 -2.652 -3.409 -5.062 -4.800 -0.324" Properties=species:S:1:pos:R:3 pbc="T T T"
Y -0.389 -1.913 -2.662
Y -1.329 -2.907 -6.569
Y -4.580 -3.168 -3.527
Y -3.508 -4.483 -0.778
Y 2.862 -1.652 -5.703
Y 3.934 -2.968 -2.955
Sb 0.157 -0.089 -5.799
Sb -1.875 -4.731 -3.432
Sb 1.381 -4.068 -4.384
Sb -3.099 -0.752 -4.847
N -1.214 -4.926 -7.580
N -0.504 0.106 -1.651
```

***

8.
Density functional theory data (PBE) for a relaxed K3CaMn2Br9 crystal.

Energy, eV per atom: -3.96
Formation energy (no corrections), meV per atom: -1377
SG: P-3m1
Density, g/cm3: 3.3

```
15
Lattice="-0.684 7.270 -2.465 2.255 -5.526 -4.876 -9.164 -1.661 -2.357" Properties=species:S:1:pos:R:3 pbc="T T T"
K -5.203 -2.435 -5.738
K 0.000 0.000 0.000
K -2.389 2.518 -3.959
Ca -4.582 -0.830 -1.178
Mn -0.233 -1.534 -4.460
Mn -7.359 1.617 -5.237
Br -6.412 3.960 -4.478
Br -5.309 1.260 -6.860
Br -6.077 0.407 -3.273
Br -1.515 -0.324 -6.424
Br -2.283 -1.177 -2.837
Br -1.181 -3.877 -5.220
Br -0.342 3.635 -1.232
Br 1.128 -2.763 -2.438
Br 0.786 0.872 -3.670
```